# 1
# SbAsRh4

Crystalline SbAsRh4 at its relaxed geometry (PBE-GGA, Alexandria).

abc: 5.2312 5.2312 5.2312
angles: 60.00 60.00 60.00
Closest atoms and distances in Å follow each position.
Element x y z (fractional)
Sb  0.0000  0.0000  0.0000  12 Rh 3.07, 4 As 3.20
As  0.2500  0.2500  0.2500  12 Rh 3.07, 4 Sb 3.20
Rh  0.1260  0.6247  0.6247  6 Rh 2.61-2.62
Rh  0.6247  0.1260  0.6247  6 Rh 2.61-2.62
Rh  0.6247  0.6247  0.1260  6 Rh 2.61-2.62
Rh  0.6247  0.6247  0.6247  6 Rh 2.61-2.62

Calculated values
Total moment: 0.00 μB per formula unit
Crystal system: cubic
Raw formation energy: 0.23 eV per atom

=====

# 2
# MgAl2Te

Crystalline MgAl2Te at its relaxed geometry (PBE-GGA, Alexandria).

abc: 6.8131 6.8131 11.2958
angles: 90.00 90.00 90.00
Closest atoms and distances in Å follow each position.
Element x y z (fractional)
Mg  0.0000  0.0000  0.0000  4 Al 2.81
Mg  0.0000  0.5000  0.2500  4 Al 2.81
Mg  0.5000  0.0000  0.7500  4 Al 2.81
Mg  0.5000  0.5000  0.5000  4 Al 2.81
Al  0.2462  0.2500  0.6250  2 Te 2.78, 2 Mg 2.81
Al  0.2500  0.7462  0.8750  2 Te 2.78, 2 Mg 2.81
Al  0.2500  0.7538  0.3750  2 Te 2.78, 2 Mg 2.81
Al  0.2538  0.2500  0.1250  2 Te 2.78, 2 Mg 2.81
Al  0.7462  0.7500  0.1250  2 Te 2.78, 2 Mg 2.81
Al  0.7500  0.2462  0.3750  2 Te 2.78, 2 Mg 2.81
Al  0.7500  0.2538  0.8750  2 Te 2.78, 2 Mg 2.81
Al  0.7538  0.7500  0.6250  2 Te 2.78, 2 Mg 2.81
Te  0.0000  0.0000  0.5000  4 Al 2.78
Te  0.0000  0.5000  0.7500  4 Al 2.78
Te  0.5000  0.0000  0.2500  4 Al 2.78
Te  0.5000  0.5000  0.0000  4 Al 2.78

Calculated values
Total moment: 0.00 μB per formula unit
Energy relative to the lowest polymorph listed for this composition: 428.6 meV/atom
Crystal system: tetragonal
Raw formation energy: 0.33 eV per atom

=====

# 3
# Ac2ScAg

Crystalline Ac2ScAg at its relaxed geometry (PBE-GGA, Alexandria).

abc: 3.7093 3.7093 35.6882
angles: 90.00 90.00 120.00
Closest atoms and distances in Å follow each position.
Element x y z (fractional)
Ac  0.0000  0.0000  0.0878  1 Ag 3.13
Ac  0.0000  0.0000  0.9122  1 Ag 3.13
Ac  0.3333  0.6667  0.5788  1 Ag 3.13
Ac  0.3333  0.6667  0.7545  1 Ag 3.13
Ac  0.6667  0.3333  0.2455  1 Ag 3.13
Ac  0.6667  0.3333  0.4212  1 Ag 3.13
Sc  0.0000  0.0000  0.5000  6 Ac 3.54, 6 Sc 3.71
Sc  0.3333  0.6667  0.1667  6 Ac 3.54, 6 Sc 3.71
Sc  0.6667  0.3333  0.8333  6 Ac 3.54, 6 Sc 3.71
Ag  0.0000  0.0000  0.0000  2 Ac 3.13
Ag  0.3333  0.6667  0.6667  2 Ac 3.13
Ag  0.6667  0.3333  0.3333  2 Ac 3.13

Calculated values
Total moment: 0.00 μB per formula unit
Energy relative to the lowest polymorph listed for this composition: 412.4 meV/atom
Energy of formation: 360 meV/atom
Crystal system: trigonal

=====

# 4
# ThTe4Au

Crystalline ThTe4Au at its relaxed geometry (PBE-GGA, Alexandria).

abc: 7.5504 6.6389 8.4639
angles: 90.00 99.95 90.00
Closest atoms and distances in Å follow each position.
Element x y z (fractional)
Th  0.0000  0.0000  0.0000  6 Te 3.10-3.24
Th  0.0000  0.5000  0.5000  6 Te 3.10-3.24
Te  0.1569  0.1220  0.3493  1 Au 2.80, 1 Th 3.10
Te  0.1569  0.3780  0.8493  1 Au 2.80, 1 Th 3.10
Te  0.3783  0.6305  0.3994  1 Au 2.71, 1 Te 2.86
Te  0.3783  0.8695  0.8994  1 Au 2.71, 1 Te 2.86
Te  0.6217  0.1305  0.1006  1 Au 2.71, 1 Te 2.86
Te  0.6217  0.3695  0.6006  1 Au 2.71, 1 Te 2.86
Te  0.8431  0.6220  0.1507  1 Au 2.80, 1 Th 3.10
Te  0.8431  0.8780  0.6507  1 Au 2.80, 1 Th 3.10
Au  0.5000  0.0000  0.5000  4 Te 2.71-2.80
Au  0.5000  0.5000  0.0000  4 Te 2.71-2.80

Calculated values
Total moment: 0.00 μB per formula unit
Crystal system: monoclinic
Raw formation energy: -0.44 eV per atom

=====

# 5
# ThInAu6

Crystalline ThInAu6 at its relaxed geometry (PBE-GGA, Alexandria).

abc: 4.6619 6.7084 5.3326
angles: 90.00 90.00 90.00
Closest atoms and distances in Å follow each position.
Element x y z (fractional)
Th  0.0000  0.0000  0.0000  12 Au 3.11-3.35
In  0.5000  0.5000  0.3200  10 Au 2.89-3.12
Au  0.0000  0.2677  0.4948  7 Au 2.95-3.12, 2 In 2.95, 2 Th 3.19-3.24
Au  0.0000  0.5000  0.9983  2 In 2.89, 8 Au 2.91-3.10
Au  0.0000  0.7323  0.4948  7 Au 2.95-3.12, 2 In 2.95, 2 Th 3.19-3.24
Au  0.5000  0.0000  0.3996  6 Au 2.96-2.99, 2 Th 3.16
Au  0.5000  0.2759  0.8323  6 Au 2.91-3.01, 2 In 3.00-3.12, 2 Th 3.11
Au  0.5000  0.7241  0.8323  6 Au 2.91-3.01, 2 In 3.00-3.12, 2 Th 3.11

Calculated values
Total moment: 0.00 μB per formula unit
Energy of formation: -323 meV/atom
Crystal system: orthorhombic

=====

# 6
# LiCd2Te

Crystalline LiCd2Te at its relaxed geometry (PBE-GGA, Alexandria).

abc: 9.6338 9.6338 5.2251
angles: 90.00 90.00 90.00
Closest atoms and distances in Å follow each position.
Element x y z (fractional)
Li  0.0000  0.0000  0.0000  2 Te 2.61
Li  0.0000  0.5000  0.2500  2 Te 2.61
Li  0.5000  0.0000  0.7500  2 Te 2.61
Li  0.5000  0.5000  0.5000  2 Te 2.61
Cd  0.1882  0.2500  0.6250  2 Cd 2.87, 2 Te 3.08
Cd  0.2500  0.6882  0.8750  2 Cd 2.87, 2 Te 3.08
Cd  0.2500  0.8118  0.3750  2 Cd 2.87, 2 Te 3.08
Cd  0.3118  0.2500  0.1250  2 Cd 2.87, 2 Te 3.08
Cd  0.6882  0.7500  0.1250  2 Cd 2.87, 2 Te 3.08
Cd  0.7500  0.1882  0.3750  2 Cd 2.87, 2 Te 3.08
Cd  0.7500  0.3118  0.8750  2 Cd 2.87, 2 Te 3.08
Cd  0.8118  0.7500  0.6250  2 Cd 2.87, 2 Te 3.08
Te  0.0000  0.0000  0.5000  2 Li 2.61
Te  0.0000  0.5000  0.7500  2 Li 2.61
Te  0.5000  0.0000  0.2500  2 Li 2.61
Te  0.5000  0.5000  0.0000  2 Li 2.61

Calculated values
Total moment: 0.00 μB per formula unit
Crystal system: tetragonal
Raw formation energy: -0.25 eV per atom